# KNa2OsO4, relaxed, DFT PBE
data_KNa2OsO4
_chemical_formula_sum 'K2 Na4 Os2 O8'
_symmetry_space_group_name_H-M 'I -4'
_symmetry_Int_Tables_number 82
_symmetry_space_group_name_Hall 'I -4'
_cell_length_a 5.8904
_cell_length_b 5.8904
_cell_length_c 7.3559
_cell_angle_alpha 90.00
_cell_angle_beta 90.00
_cell_angle_gamma 90.00
loop_
_atom_site_label
_atom_site_type_symbol
_atom_site_fract_x
_atom_site_fract_y
_atom_site_fract_z
K1 K 0.0000 0.0000 0.0000
Na1 Na 0.0000 0.0000 0.5000
Na2 Na 0.0000 0.5000 0.2500
Os1 Os 0.0000 0.5000 0.7500
O1 O 0.1878 0.2520 0.7108
# Fermi-level density of states = 12.962 states/eV per cell
# Energy = -5.679 eV/atom
# Magnetic moment = 1.0 μB per formula unit
# ΔE_f (raw) = -1.329 eV/atom

# K3NaOs2O8, relaxed, DFT PBE
data_K3NaOs2O8
_chemical_formula_sum 'K3 Na1 Os2 O8'
_symmetry_space_group_name_H-M 'P -3 m 1'
_symmetry_Int_Tables_number 164
_symmetry_space_group_name_Hall '-P 3 2"'
_cell_length_a 6.0962
_cell_length_b 6.0962
_cell_length_c 7.8146
_cell_angle_alpha 90.00
_cell_angle_beta 90.00
_cell_angle_gamma 120.00
loop_
_atom_site_label
_atom_site_type_symbol
_atom_site_fract_x
_atom_site_fract_y
_atom_site_fract_z
K1 K 0.0000 0.0000 0.0000
K2 K 0.3333 0.6667 0.6496
Na1 Na 0.0000 0.0000 0.5000
Os1 Os 0.3333 0.6667 0.2084
O1 O 0.1757 0.3514 0.3041
O2 O 0.3333 0.6667 0.9797
# Energy = -6.114 eV/atom
# Magnetic moment = 4.0 μB per formula unit
# ΔE_f (raw) = -1.347 eV/atom

# KNa2Os3O12, relaxed, DFT PBE
data_KNa2Os3O12
_chemical_formula_sum 'K3 Na6 Os9 O36'
_symmetry_space_group_name_H-M 'R -3 m'
_symmetry_Int_Tables_number 166
_symmetry_space_group_name_Hall '-R 3 2"'
_cell_length_a 7.2903
_cell_length_b 7.2903
_cell_length_c 16.7711
_cell_angle_alpha 90.00
_cell_angle_beta 90.00
_cell_angle_gamma 120.00
loop_
_atom_site_label
_atom_site_type_symbol
_atom_site_fract_x
_atom_site_fract_y
_atom_site_fract_z
K1 K 0.0000 0.0000 0.0000
Na1 Na 0.0000 0.0000 0.3744
Os1 Os 0.0000 0.5000 0.5000
O1 O 0.0756 0.5378 0.8078
O2 O 0.0837 0.5418 0.3981
# Fermi-level density of states = 3.054 states/eV per cell
# Energy = -6.549 eV/atom
# Magnetic moment = 0.0 μB per formula unit
# ΔE_f (raw) = -1.165 eV/atom

# K3NaP2O6, relaxed, DFT PBE
data_K3NaP2O6
_chemical_formula_sum 'K3 Na1 P2 O6'
_symmetry_space_group_name_H-M 'P -3 m 1'
_symmetry_Int_Tables_number 164
_symmetry_space_group_name_Hall '-P 3 2"'
_cell_length_a 5.9114
_cell_length_b 5.9114
_cell_length_c 7.0357
_cell_angle_alpha 90.00
_cell_angle_beta 90.00
_cell_angle_gamma 120.00
loop_
_atom_site_label
_atom_site_type_symbol
_atom_site_fract_x
_atom_site_fract_y
_atom_site_fract_z
K1 K 0.0000 0.0000 0.0000
K2 K 0.3333 0.6667 0.6852
Na1 Na 0.0000 0.0000 0.5000
P1 P 0.3333 0.6667 0.2239
O1 O 0.1878 0.3757 0.2845
# Fermi-level density of states = 0.668 states/eV per cell
# Energy = -5.714 eV/atom
# Magnetic moment = 2.0 μB per formula unit
# ΔE_f (raw) = -1.949 eV/atom

# KNaPO3, relaxed, DFT PBE
data_KNaPO3
_chemical_formula_sum 'K2 Na2 P2 O6'
_symmetry_space_group_name_H-M 'P 63/m m c'
_symmetry_Int_Tables_number 194
_symmetry_space_group_name_Hall '-P 6c 2c'
_cell_length_a 5.8795
_cell_length_b 5.8795
_cell_length_c 7.1002
_cell_angle_alpha 90.00
_cell_angle_beta 90.00
_cell_angle_gamma 120.00
loop_
_atom_site_label
_atom_site_type_symbol
_atom_site_fract_x
_atom_site_fract_y
_atom_site_fract_z
K1 K 0.3333 0.6667 0.2500
Na1 Na 0.0000 0.0000 0.0000
P1 P 0.3333 0.6667 0.7500
O1 O 0.1830 0.3659 0.7500
# Fermi-level density of states = 2.742 states/eV per cell
# Energy = -5.544 eV/atom
# Magnetic moment = 0.0 μB per formula unit
# ΔE_f (raw) = -1.760 eV/atom

# K2NaP2O6, relaxed, DFT PBE
data_K2NaP2O6
_chemical_formula_sum 'K4 Na2 P4 O12'
_symmetry_space_group_name_H-M 'C 1 2/m 1'
_symmetry_Int_Tables_number 12
_symmetry_space_group_name_Hall '-C 2y'
_cell_length_a 10.3175
_cell_length_b 5.8631
_cell_length_c 6.7487
_cell_angle_alpha 90.00
_cell_angle_beta 121.33
_cell_angle_gamma 90.00
loop_
_atom_site_label
_atom_site_type_symbol
_atom_site_fract_x
_atom_site_fract_y
_atom_site_fract_z
K1 K 0.2087 0.0000 0.1846
Na1 Na 0.0000 0.0000 0.5000
P1 P 0.0431 0.5000 0.2051
O1 O 0.0300 0.2792 0.7808
O2 O 0.2147 0.5000 0.3198
# Fermi-level density of states = 1.503 states/eV per cell
# Energy = -6.076 eV/atom
# Magnetic moment = 1.0 μB per formula unit
# ΔE_f (raw) = -2.068 eV/atom

# K2Na3P3O10, relaxed, DFT PBE
data_K2Na3P3O10
_chemical_formula_sum 'K8 Na12 P12 O40'
_symmetry_space_group_name_H-M 'C 1 2/c 1'
_symmetry_Int_Tables_number 15
_symmetry_space_group_name_Hall '-C 2yc'
_cell_length_a 9.9672
_cell_length_b 5.6806
_cell_length_c 18.9294
_cell_angle_alpha 90.00
_cell_angle_beta 96.06
_cell_angle_gamma 90.00
loop_
_atom_site_label
_atom_site_type_symbol
_atom_site_fract_x
_atom_site_fract_y
_atom_site_fract_z
K1 K 0.0947 0.2281 0.0778
Na1 Na 0.2206 0.1946 0.3289
Na2 Na 0.2500 0.2500 0.5000
P1 P 0.0000 0.4057 0.7500
P2 P 0.0675 0.2706 0.8981
O1 O 0.0453 0.2132 0.8110
O2 O 0.0740 0.2764 0.5777
O3 O 0.1213 0.4562 0.2311
O4 O 0.1428 0.4949 0.4061
O5 O 0.1506 0.0576 0.9260
# Fermi-level density of states = 0.000 states/eV per cell
# Energy = -6.256 eV/atom
# Magnetic moment = 0.0 μB per formula unit
# ΔE_f (raw) = -2.258 eV/atom

# KNaPO4, relaxed, DFT PBE
data_KNaPO4
_chemical_formula_sum 'K2 Na2 P2 O8'
_symmetry_space_group_name_H-M 'I -4'
_symmetry_Int_Tables_number 82
_symmetry_space_group_name_Hall 'I -4'
_cell_length_a 5.8125
_cell_length_b 5.8125
_cell_length_c 8.3921
_cell_angle_alpha 90.00
_cell_angle_beta 90.00
_cell_angle_gamma 90.00
loop_
_atom_site_label
_atom_site_type_symbol
_atom_site_fract_x
_atom_site_fract_y
_atom_site_fract_z
K1 K 0.0000 0.0000 0.0000
Na1 Na 0.0000 0.0000 0.5000
P1 P 0.0000 0.5000 0.7500
O1 O 0.1164 0.3188 0.6411
# Fermi-level density of states = 16.347 states/eV per cell
# Energy = -5.917 eV/atom
# Magnetic moment = 1.0 μB per formula unit
# ΔE_f (raw) = -1.966 eV/atom

# KNaP6Pb8O24, relaxed, DFT PBE
data_KNaP6Pb8O24
_chemical_formula_sum 'K1 Na1 P6 Pb8 O24'
_symmetry_space_group_name_H-M 'P 3'
_symmetry_Int_Tables_number 143
_symmetry_space_group_name_Hall 'P 3'
_cell_length_a 9.9566
_cell_length_b 9.9566
_cell_length_c 7.3709
_cell_angle_alpha 90.00
_cell_angle_beta 90.00
_cell_angle_gamma 120.00
loop_
_atom_site_label
_atom_site_type_symbol
_atom_site_fract_x
_atom_site_fract_y
_atom_site_fract_z
K1 K 0.0000 0.0000 0.0000
Na1 Na 0.3333 0.6667 0.4812
P1 P 0.0418 0.7238 0.2414
P2 P 0.0636 0.3586 0.7276
Pb1 Pb 0.0000 0.0000 0.5033
Pb2 Pb 0.3333 0.6667 0.9989
Pb3 Pb 0.4025 0.3357 0.7305
Pb4 Pb 0.4073 0.0727 0.2381
O1 O 0.0298 0.4203 0.9071
O2 O 0.0949 0.2419 0.2543
O3 O 0.1437 0.6462 0.2430
O4 O 0.1874 0.0070 0.7301
O5 O 0.1981 0.7557 0.7036
O6 O 0.3194 0.2575 0.0697
O7 O 0.3281 0.2563 0.4074
O8 O 0.4164 0.0076 0.5709
# Fermi-level density of states = 0.000 states/eV per cell
# Energy = -6.550 eV/atom
# Magnetic moment = 0.0 μB per formula unit
# ΔE_f (raw) = -1.962 eV/atom

# KNaTi2P2O10, relaxed, DFT PBE
data_KNaTi2P2O10
_chemical_formula_sum 'K4 Na4 Ti8 P8 O40'
_symmetry_space_group_name_H-M 'P n a 21'
_symmetry_Int_Tables_number 33
_symmetry_space_group_name_Hall 'P 2c -2n'
_cell_length_a 12.9132
_cell_length_b 6.3889
_cell_length_c 10.7210
_cell_angle_alpha 90.00
_cell_angle_beta 90.00
_cell_angle_gamma 90.00
loop_
_atom_site_label
_atom_site_type_symbol
_atom_site_fract_x
_atom_site_fract_y
_atom_site_fract_z
K1 K 0.0964 0.1721 0.0000
Na1 Na 0.1614 0.7630 0.7166
Ti1 Ti 0.1284 0.4941 0.4408
Ti2 Ti 0.2445 0.7605 0.1926
P1 P 0.0046 0.3420 0.7030
P2 P 0.1846 0.0005 0.4509
O1 O 0.0078 0.5321 0.3270
O2 O 0.0187 0.4974 0.5952
O3 O 0.0932 0.7978 0.1809
O4 O 0.1000 0.1944 0.7195
O5 O 0.1123 0.1891 0.4298
O6 O 0.1174 0.8066 0.4797
O7 O 0.2247 0.5325 0.3246
O8 O 0.2259 0.4623 0.5805
O9 O 0.2436 0.5318 0.0664
O10 O 0.2456 0.4689 0.8348
# Fermi-level density of states = 0.000 states/eV per cell
# Energy = -7.504 eV/atom
# Magnetic moment = 0.0 μB per formula unit
# ΔE_f (raw) = -2.591 eV/atom

# KNaTi4P6O24, relaxed, DFT PBE
data_KNaTi4P6O24
_chemical_formula_sum 'K3 Na3 Ti12 P18 O72'
_symmetry_space_group_name_H-M 'R -3'
_symmetry_Int_Tables_number 148
_symmetry_space_group_name_Hall '-R 3'
_cell_length_a 8.5519
_cell_length_b 8.5519
_cell_length_c 22.7560
_cell_angle_alpha 90.00
_cell_angle_beta 90.00
_cell_angle_gamma 120.00
loop_
_atom_site_label
_atom_site_type_symbol
_atom_site_fract_x
_atom_site_fract_y
_atom_site_fract_z
K1 K 0.0000 0.0000 0.0000
Na1 Na 0.0000 0.0000 0.5000
Ti1 Ti 0.0000 0.0000 0.1481
Ti2 Ti 0.0000 0.0000 0.3534
P1 P 0.0026 0.2856 0.2494
O1 O 0.0164 0.8287 0.4084
O2 O 0.0276 0.8277 0.6943
O3 O 0.0422 0.2033 0.9042
O4 O 0.0502 0.2058 0.1961
# Fermi-level density of states = 0.000 states/eV per cell
# Energy = -7.710 eV/atom
# Magnetic moment = 0.0 μB per formula unit
# ΔE_f (raw) = -2.558 eV/atom

# KNaZnP2O7, relaxed, DFT PBE
data_KNaZnP2O7
_chemical_formula_sum 'K4 Na4 Zn4 P8 O28'
_symmetry_space_group_name_H-M 'P 1 21/c 1'
_symmetry_Int_Tables_number 14
_symmetry_space_group_name_Hall '-P 2ybc'
_cell_length_a 7.5789
_cell_length_b 7.3575
_cell_length_c 14.8215
_cell_angle_alpha 90.00
_cell_angle_beta 120.07
_cell_angle_gamma 90.00
loop_
_atom_site_label
_atom_site_type_symbol
_atom_site_fract_x
_atom_site_fract_y
_atom_site_fract_z
K1 K 0.2093 0.2050 0.1053
Na1 Na 0.2599 0.0233 0.8870
Zn1 Zn 0.2103 0.5205 0.8782
P1 P 0.1719 0.7186 0.1994
P2 P 0.4253 0.7137 0.0988
O1 O 0.0355 0.6389 0.6224
O2 O 0.0845 0.5231 0.1778
O3 O 0.2501 0.7390 0.8156
O4 O 0.3027 0.5545 0.0271
O5 O 0.3413 0.1818 0.3473
O6 O 0.3704 0.5984 0.5509
O7 O 0.3862 0.7040 0.1977
# Fermi-level density of states = 0.000 states/eV per cell
# Energy = -6.280 eV/atom
# Magnetic moment = 0.0 μB per formula unit
# ΔE_f (raw) = -2.178 eV/atom

# K2NaPaO4, relaxed, DFT PBE
data_K2NaPaO4
_chemical_formula_sum 'K2 Na1 Pa1 O4'
_symmetry_space_group_name_H-M 'P 1 2/m 1'
_symmetry_Int_Tables_number 10
_symmetry_space_group_name_Hall '-P 2y'
_cell_length_a 6.0316
_cell_length_b 3.6225
_cell_length_c 6.5188
_cell_angle_alpha 90.00
_cell_angle_beta 107.58
_cell_angle_gamma 90.00
loop_
_atom_site_label
_atom_site_type_symbol
_atom_site_fract_x
_atom_site_fract_y
_atom_site_fract_z
K1 K 0.0000 0.0000 0.0000
K2 K 0.5000 0.5000 0.0000
Na1 Na 0.0000 0.5000 0.5000
Pa1 Pa 0.5000 0.0000 0.5000
O1 O 0.2840 0.0000 0.6922
O2 O 0.2970 0.5000 0.3123
# Fermi-level density of states = 0.000 states/eV per cell
# Energy = -6.596 eV/atom
# Magnetic moment = 0.0 μB per formula unit
# ΔE_f (raw) = -2.491 eV/atom

# KNaPaO4, relaxed, DFT PBE
data_KNaPaO4
_chemical_formula_sum 'K4 Na4 Pa4 O16'
_symmetry_space_group_name_H-M 'I m m a'
_symmetry_Int_Tables_number 74
_symmetry_space_group_name_Hall '-I 2b 2'
_cell_length_a 6.9625
_cell_length_b 7.2057
_cell_length_c 10.6104
_cell_angle_alpha 90.00
_cell_angle_beta 90.00
_cell_angle_gamma 90.00
loop_
_atom_site_label
_atom_site_type_symbol
_atom_site_fract_x
_atom_site_fract_y
_atom_site_fract_z
K1 K 0.2500 0.2500 0.2500
Na1 Na 0.0000 0.2500 0.6507
Pa1 Pa 0.0000 0.0000 0.0000
O1 O 0.0000 0.0112 0.8131
O2 O 0.1989 0.2500 0.0015
# Fermi-level density of states = 12.219 states/eV per cell
# Energy = -6.919 eV/atom
# Magnetic moment = 0.0 μB per formula unit
# ΔE_f (raw) = -2.384 eV/atom